# InAg2Ir

A relaxed InAg2Ir crystal (PBE, the Alexandria database).

Cell and atoms, written as CIF:
```
data_InAg2Ir
_chemical_formula_sum 'In2 Ag4 Ir2'
_space_group_name_H-M_alt 'C m m m'
_space_group_IT_number 65
_space_group_name_Hall '-C 2 2'
_cell_length_a 2.971
_cell_length_b 4.945
_cell_length_c 9.917
_cell_angle_alpha 90.00
_cell_angle_beta 90.00
_cell_angle_gamma 90.00
loop_
_atom_site_label
_atom_site_fract_x
_atom_site_fract_y
_atom_site_fract_z
In1 0.000 0.000 0.000
Ag1 0.000 0.500 0.262
Ir1 0.000 0.000 0.500
```

Calculated values
Formation energy from the elements (eV per atom): 0.373


# Nd3SmBi4

A relaxed Nd3SmBi4 crystal (PBE, the Alexandria database).

Cell and atoms, written as CIF:
```
data_Nd3SmBi4
_chemical_formula_sum 'Nd3 Sm1 Bi4'
_space_group_name_H-M_alt 'P m -3 m'
_space_group_IT_number 221
_space_group_name_Hall '-P 4 2 3'
_cell_length_a 6.497
_cell_length_b 6.497
_cell_length_c 6.497
_cell_angle_alpha 90.00
_cell_angle_beta 90.00
_cell_angle_gamma 90.00
loop_
_atom_site_label
_atom_site_fract_x
_atom_site_fract_y
_atom_site_fract_z
Nd1 0.000 0.000 0.500
Sm1 0.500 0.500 0.500
Bi1 0.000 0.000 0.000
Bi2 0.000 0.500 0.500
```

Calculated values
Energy above the lowest structure with this stoichiometry (eV/f.u.): 0.000
Formation energy from the elements (eV per atom): -0.949


# PmSm5Si4

A relaxed PmSm5Si4 crystal (PBE, the Alexandria database).

Cell and atoms, written as CIF:
```
data_PmSm5Si4
_chemical_formula_sum 'Pm2 Sm10 Si8'
_space_group_name_H-M_alt 'C 1 2/m 1'
_space_group_IT_number 12
_cell_length_a 15.385
_cell_length_b 5.067
_cell_length_c 6.929
_cell_angle_alpha 90.00
_cell_angle_beta 90.12
_cell_angle_gamma 90.00
loop_
_space_group_symop_operation_xyz
'x,y,z'
'-x,-y,-z'
'-x,y,-z'
'x,-y,z'
'x+1/2,y+1/2,z'
'-x+1/2,-y+1/2,-z'
'-x+1/2,y+1/2,-z'
'x+1/2,-y+1/2,z'
loop_
_atom_site_label
_atom_site_fract_x
_atom_site_fract_y
_atom_site_fract_z
Pm1 0.000 0.000 0.000
Sm1 0.000 0.000 0.500
Sm2 0.165 0.500 0.508
Sm3 0.165 0.500 0.994
Si1 0.009 0.500 0.252
Si2 0.178 0.000 0.750
```

Calculated values
Raw formation energy (eV per atom): -0.5069


# PuPa2Ga6

A relaxed PuPa2Ga6 crystal (PBE, the Alexandria database).

Cell and atoms, written as CIF:
```
data_PuPa2Ga6
_chemical_formula_sum 'Pu1 Pa2 Ga6'
_space_group_name_H-M_alt 'P 6/m m m'
_space_group_IT_number 191
_space_group_name_Hall '-P 6 2'
_cell_length_a 7.9030
_cell_length_b 7.9030
_cell_length_c 3.3544
_cell_angle_alpha 90.00
_cell_angle_beta 90.00
_cell_angle_gamma 120.00
loop_
_atom_site_label
_atom_site_fract_x
_atom_site_fract_y
_atom_site_fract_z
Pu1 0.0000 0.0000 0.0000
Pa1 0.3333 0.6667 0.0000
Ga1 0.0000 0.3344 0.5000
```

Calculated values
Energy above the lowest structure with this stoichiometry (eV/f.u.): 0.000
Formation energy from the elements (eV per atom): -0.342


# Ga2SnHg

A relaxed Ga2SnHg crystal (PBE, the Alexandria database).

Cell and atoms, written as CIF:
```
data_Ga2SnHg
_chemical_formula_sum 'Ga8 Sn4 Hg4'
_space_group_name_H-M_alt 'I -4 2 d'
_space_group_IT_number 122
_space_group_name_Hall 'I -4 2bw'
_cell_length_a 7.927
_cell_length_b 7.927
_cell_length_c 6.029
_cell_angle_alpha 90.00
_cell_angle_beta 90.00
_cell_angle_gamma 90.00
loop_
_atom_site_label
_atom_site_fract_x
_atom_site_fract_y
_atom_site_fract_z
Ga1 0.248 0.250 0.125
Sn1 0.000 0.000 0.500
Hg1 0.000 0.000 0.000
```

Calculated values
Energy above the lowest structure with this stoichiometry (eV/f.u.): 0.133
Formation energy from the elements (eV per atom): 0.101


# CeEr3Cd2

A relaxed CeEr3Cd2 crystal (PBE, the Alexandria database).

Cell and atoms, written as CIF:
```
data_CeEr3Cd2
_chemical_formula_sum 'Ce1 Er3 Cd2'
_space_group_name_H-M_alt 'P 4/m m m'
_space_group_IT_number 123
_space_group_name_Hall '-P 4 2'
_cell_length_a 3.583
_cell_length_b 3.583
_cell_length_c 12.558
_cell_angle_alpha 90.00
_cell_angle_beta 90.00
_cell_angle_gamma 90.00
loop_
_atom_site_label
_atom_site_fract_x
_atom_site_fract_y
_atom_site_fract_z
Ce1 0.000 0.000 0.000
Er1 0.500 0.500 0.185
Er2 0.500 0.500 0.500
Cd1 0.000 0.000 0.343
```

Calculated values
Formation energy from the elements (eV per atom): -0.173


# ScBe3Al

A relaxed ScBe3Al crystal (PBE, the Alexandria database).

Cell and atoms, written as CIF:
```
data_ScBe3Al
_chemical_formula_sum 'Sc1 Be3 Al1'
_space_group_name_H-M_alt 'P m -3 m'
_space_group_IT_number 221
_space_group_name_Hall '-P 4 2 3'
_cell_length_a 4.218
_cell_length_b 4.218
_cell_length_c 4.218
_cell_angle_alpha 90.00
_cell_angle_beta 90.00
_cell_angle_gamma 90.00
loop_
_atom_site_label
_atom_site_fract_x
_atom_site_fract_y
_atom_site_fract_z
Sc1 0.000 0.000 0.000
Be1 0.000 0.500 0.500
Al1 0.500 0.500 0.500
```

Calculated values
Energy above the lowest structure with this stoichiometry (eV/f.u.): 0.000
Formation energy from the elements (eV per atom): 0.623


# YBiTeI2

A relaxed YBiTeI2 crystal (PBE, the Alexandria database).

Cell and atoms, written as CIF:
```
data_YBiTeI2
_chemical_formula_sum 'Y1 Bi1 Te1 I2'
_space_group_name_H-M_alt 'P 4/m m m'
_space_group_IT_number 123
_space_group_name_Hall '-P 4 2'
_cell_length_a 5.896
_cell_length_b 5.896
_cell_length_c 6.145
_cell_angle_alpha 90.00
_cell_angle_beta 90.00
_cell_angle_gamma 90.00
loop_
_atom_site_label
_atom_site_fract_x
_atom_site_fract_y
_atom_site_fract_z
Y1 0.000 0.000 0.000
Bi1 0.500 0.500 0.500
Te1 0.000 0.000 0.500
I1 0.000 0.500 0.000
```

Calculated values
Energy above the lowest structure with this stoichiometry (eV/f.u.): 0.000
Raw formation energy (eV per atom): -0.4071


# In4PtW

A relaxed In4PtW crystal (PBE, the Alexandria database).

Cell and atoms, written as CIF:
```
data_In4PtW
_chemical_formula_sum 'In16 Pt4 W4'
_space_group_name_H-M_alt 'F -4 3 m'
_space_group_IT_number 216
_space_group_name_Hall 'F -4 2 3'
_cell_length_a 7.998
_cell_length_b 7.998
_cell_length_c 7.998
_cell_angle_alpha 90.00
_cell_angle_beta 90.00
_cell_angle_gamma 90.00
loop_
_atom_site_label
_atom_site_fract_x
_atom_site_fract_y
_atom_site_fract_z
In1 0.125 0.125 0.125
Pt1 0.250 0.250 0.750
W1 0.000 0.000 0.500
```

Calculated values
Formation energy from the elements (eV per atom): 0.974


# MgRe

A relaxed MgRe crystal (PBE, the Alexandria database).

Cell and atoms, written as CIF:
```
data_MgRe
_chemical_formula_sum 'Mg2 Re2'
_space_group_name_H-M_alt 'P 63/m m c'
_space_group_IT_number 194
_space_group_name_Hall '-P 6c 2c'
_cell_length_a 4.5300
_cell_length_b 4.5300
_cell_length_c 5.1319
_cell_angle_alpha 90.00
_cell_angle_beta 90.00
_cell_angle_gamma 120.00
loop_
_atom_site_label
_atom_site_fract_x
_atom_site_fract_y
_atom_site_fract_z
Mg1 0.3333 0.6667 0.2500
Re1 0.3333 0.6667 0.7500
```

Calculated values
Energy above the lowest structure with this stoichiometry (eV/f.u.): 4.596
Formation energy from the elements (eV per atom): 2.364


# Ti2BeSn2

A relaxed Ti2BeSn2 crystal (PBE, the Alexandria database).

Cell and atoms, written as CIF:
```
data_Ti2BeSn2
_chemical_formula_sum 'Ti4 Be2 Sn4'
_space_group_name_H-M_alt 'P 4/m b m'
_space_group_IT_number 127
_space_group_name_Hall '-P 4 2ab'
_cell_length_a 6.549
_cell_length_b 6.549
_cell_length_c 4.338
_cell_angle_alpha 90.00
_cell_angle_beta 90.00
_cell_angle_gamma 90.00
loop_
_atom_site_label
_atom_site_fract_x
_atom_site_fract_y
_atom_site_fract_z
Ti1 0.155 0.345 0.000
Be1 0.000 0.000 0.000
Sn1 0.161 0.661 0.500
```

Calculated values
Energy above the lowest structure with this stoichiometry (eV/f.u.): 0.000
Formation energy from the elements (eV per atom): -0.017


# CeSF

A relaxed CeSF crystal (PBE, the Alexandria database).

Cell and atoms, written as CIF:
```
data_CeSF
_chemical_formula_sum 'Ce2 S2 F2'
_space_group_name_H-M_alt 'P 4/n m m'
_space_group_IT_number 129
_cell_length_a 3.948
_cell_length_b 3.948
_cell_length_c 7.017
_cell_angle_alpha 90.00
_cell_angle_beta 90.00
_cell_angle_gamma 90.00
loop_
_space_group_symop_operation_xyz
'x,y,z'
'-x,-y,-z'
'-y+1/2,x,z'
'y+1/2,-x,-z'
'-x+1/2,-y+1/2,z'
'x+1/2,y+1/2,-z'
'y,-x+1/2,z'
'-y,x+1/2,-z'
'x+1/2,-y,-z'
'-x+1/2,y,z'
'-y,-x,-z'
'y,x,z'
'-x,y+1/2,-z'
'x,-y+1/2,z'
'y+1/2,x+1/2,-z'
'-y+1/2,-x+1/2,z'
loop_
_atom_site_label
_atom_site_fract_x
_atom_site_fract_y
_atom_site_fract_z
Ce1 0.250 0.250 0.235
S1 0.250 0.250 0.647
F1 0.250 0.750 0.000
```

Calculated values
Raw formation energy (eV per atom): -2.9187


no.,DOS(E_F) (states/eV/f.u.),calculated total energy (hartree per atom)
1,3.56,-0.1453
2,0.45,-0.1936
3,5.29,-0.2025
4,12.11,-0.2228
5,2.20,-0.0915
6,7.48,-0.1378
7,2.24,-0.1333
8,1.60,-0.1369
9,4.05,-0.1476
10,2.73,-0.1711
11,4.74,-0.2029
12,6.16,-0.2534